[1]
Below is crystalline AsIrPt4 at its relaxed geometry, with properties calculated at the PBE level.

ρ: 17.020 g/cm³
DFT formation energy: 0.486 eV/atom

Lattice parameters (Å, degrees): 7.422 7.422 7.422 90.00 90.00 90.00
Space group F-43m (No. 216)
Unique sites:
As 0.000 0.000 0.000
Ir 0.250 0.250 0.250
Pt 0.124 0.124 0.624

---

[2]
Below is crystalline AsIrPt at its relaxed geometry, with properties calculated at the PBE level.

ρ: 16.205 g/cm³
DFT formation energy: 0.128 eV/atom

Lattice parameters (Å, degrees): 2.926 2.926 11.062 90.00 90.00 90.00
Space group I4mm (No. 107)
Unique sites:
As 0.000 0.000 0.000
Ir 0.000 0.000 0.642
Pt 0.000 0.000 0.321

---

[3]
Below is crystalline AsIrPt at its relaxed geometry, with properties calculated at the PBE level.

ρ: 15.819 g/cm³
DFT formation energy: 0.250 eV/atom

Lattice parameters (Å, degrees): 2.815 4.868 14.162 90.00 90.00 90.00
Space group Fmm2 (No. 42)
Unique sites:
As 0.000 0.000 0.000
Ir 0.000 0.000 0.351
Pt 0.000 0.000 0.681

---

[4]
Below is crystalline AsIr2Pt at its relaxed geometry, with properties calculated at the PBE level.

ρ: 17.746 g/cm³
DFT formation energy: 0.158 eV/atom

Lattice parameters (Å, degrees): 2.8618 2.8618 25.9021 90.00 90.00 120.00
Space group R3m (No. 160, hexagonal axes)
Unique sites:
As 0.0000 0.0000 0.0000
Ir 0.0000 0.0000 0.2559
Ir 0.0000 0.0000 0.5046
Pt 0.0000 0.0000 0.7500

---

[5]
Below is crystalline AsIr2Pt at its relaxed geometry, with properties calculated at the PBE level.

ρ: 17.480 g/cm³
DFT formation energy: 0.186 eV/atom

Lattice parameters (Å, degrees): 2.819 3.883 5.679 90.00 90.00 90.00
Space group Pmm2 (No. 25)
Unique sites:
As 0.000 0.000 0.000
Ir 0.000 0.000 0.459
Ir 0.500 0.500 0.222
Pt 0.500 0.500 0.705

---

[6]
Below is crystalline AsIr2Pt at its relaxed geometry, with properties calculated at the PBE level.

ρ: 17.230 g/cm³
DFT formation energy: 0.278 eV/atom

Lattice parameters (Å, degrees): 2.736 4.847 9.513 90.00 90.00 90.00
Space group Cmm2 (No. 35)
Unique sites:
As 0.000 0.000 0.000
Ir 0.000 0.000 0.482
Ir 0.000 0.500 0.243
Pt 0.000 0.500 0.734

---

[7]
Below is crystalline AsIr2Pt at its relaxed geometry, with properties calculated at the PBE level.

ρ: 17.621 g/cm³
DFT formation energy: 0.159 eV/atom

Lattice parameters (Å, degrees): 2.917 4.127 5.325 90.00 105.78 90.00
Space group P2/m (No. 10)
Unique sites:
As 0.000 0.000 0.000
Ir 0.368 0.500 0.235
Pt 0.000 0.000 0.500

---

[8]
Below is crystalline AsIr2Pt at its relaxed geometry, with properties calculated at the PBE level.

ρ: 17.780 g/cm³
DFT formation energy: 0.144 eV/atom

Lattice parameters (Å, degrees): 5.585 7.489 2.923 90.00 90.00 90.00
Space group Cmmm (No. 65)
Unique sites:
As 0.000 0.000 0.000
Ir 0.250 0.250 0.500
Pt 0.000 0.500 0.000

---

[9]
Below is crystalline As3IrPt at its relaxed geometry, with properties calculated at the PBE level.

ρ: 9.364 g/cm³
DFT formation energy: 0.796 eV/atom

Lattice parameters (Å, degrees): 4.770 4.770 4.770 90.00 90.00 90.00
Space group Pm-3m (No. 221)
Unique sites:
As 0.000 0.000 0.500
Ir 0.000 0.000 0.000
Pt 0.500 0.500 0.500

---

[10]
Below is crystalline AsIr2Pt at its relaxed geometry, with properties calculated at the PBE level.

ρ: 17.493 g/cm³
DFT formation energy: 0.325 eV/atom

Lattice parameters (Å, degrees): 2.781 4.869 9.175 90.00 90.00 90.00
Space group Cmmm (No. 65)
Unique sites:
As 0.000 0.000 0.000
Ir 0.000 0.500 0.243
Pt 0.000 0.000 0.500

---

[11]
Below is crystalline AsIr2Pt at its relaxed geometry, with properties calculated at the PBE level.

ρ: 17.844 g/cm³
DFT formation energy: 0.164 eV/atom

Lattice parameters (Å, degrees): 4.013 4.013 3.782 90.00 90.00 90.00
Space group P4/mmm (No. 123)
Unique sites:
As 0.000 0.000 0.000
Ir 0.000 0.500 0.500
Pt 0.500 0.500 0.000

---

[12]
Below is crystalline AsIr2Pt at its relaxed geometry, with properties calculated at the PBE level.

ρ: 17.885 g/cm³
DFT formation energy: 0.108 eV/atom

Lattice parameters (Å, degrees): 2.8926 2.8926 25.1562 90.00 90.00 120.00
Space group R-3m (No. 166, hexagonal axes)
Unique sites:
As 0.0000 0.0000 0.0000
Ir 0.0000 0.0000 0.2578
Pt 0.0000 0.0000 0.5000

---

[13]
Below is crystalline AsIrPt at its relaxed geometry, with properties calculated at the PBE level.

ρ: 16.298 g/cm³
DFT formation energy: 0.105 eV/atom

Lattice parameters (Å, degrees): 2.9340 2.9340 6.3169 90.00 90.00 120.00
Space group P3m1 (No. 156)
Unique sites:
As 0.0000 0.0000 0.0000
Ir 0.3333 0.6667 0.3004
Pt 0.6667 0.3333 0.6670

---

[14]
Below is crystalline AsIr2Pt at its relaxed geometry, with properties calculated at the PBE level.

ρ: 12.678 g/cm³
DFT formation energy: 0.597 eV/atom

Lattice parameters (Å, degrees): 5.230 5.230 12.535 90.00 90.00 90.00
Space group I-42d (No. 122)
Unique sites:
As 0.000 0.000 0.000
Ir 0.229 0.250 0.125
Pt 0.000 0.000 0.500

---

[15]
Below is crystalline AsIr2Pt at its relaxed geometry, with properties calculated at the PBE level.

ρ: 17.596 g/cm³
DFT formation energy: 0.295 eV/atom

Lattice parameters (Å, degrees): 3.966 3.966 7.854 90.00 90.00 90.00
Space group I-4m2 (No. 119)
Unique sites:
As 0.000 0.000 0.000
Ir 0.000 0.000 0.500
Ir 0.000 0.500 0.750
Pt 0.000 0.500 0.250

---

[16]
Below is crystalline AsIr2Pt at its relaxed geometry, with properties calculated at the PBE level.

ρ: 17.485 g/cm³
DFT formation energy: 0.220 eV/atom

Lattice parameters (Å, degrees): 2.782 4.678 4.775 90.00 90.00 90.00
Space group Pmmm (No. 47)
Unique sites:
As 0.000 0.000 0.000
Ir 0.000 0.500 0.500
Ir 0.500 0.500 0.000
Pt 0.500 0.000 0.500

---

[17]
Below is crystalline AsIr4Pt at its relaxed geometry, with properties calculated at the PBE level.

ρ: 17.361 g/cm³
DFT formation energy: 0.656 eV/atom

Lattice parameters (Å, degrees): 7.352 7.352 7.352 90.00 90.00 90.00
Space group F-43m (No. 216)
Unique sites:
As 0.000 0.000 0.000
Ir 0.125 0.125 0.625
Pt 0.250 0.250 0.250

---

[18]
Below is crystalline AsIr2Pt at its relaxed geometry, with properties calculated at the PBE level.

ρ: 17.630 g/cm³
DFT formation energy: 0.215 eV/atom

Lattice parameters (Å, degrees): 2.787 4.691 9.429 90.00 90.00 90.00
Space group Imm2 (No. 44)
Unique sites:
As 0.000 0.000 0.000
Ir 0.000 0.000 0.480
Ir 0.000 0.500 0.731
Pt 0.000 0.500 0.247

---

[19]
Below is crystalline AsIr2Pt at its relaxed geometry, with properties calculated at the PBE level.

ρ: 17.701 g/cm³
DFT formation energy: 0.259 eV/atom

Lattice parameters (Å, degrees): 4.117 4.117 7.244 90.00 90.00 90.00
Space group I4/mmm (No. 139)
Unique sites:
As 0.000 0.000 0.000
Ir 0.000 0.500 0.250
Pt 0.000 0.000 0.500

---

[20]
Below is crystalline AsIrPt at its relaxed geometry, with properties calculated at the PBE level.

ρ: 15.594 g/cm³
DFT formation energy: -0.037 eV/atom

Lattice parameters (Å, degrees): 3.9659 3.9659 3.6133 90.00 90.00 120.00
Space group P3m1 (No. 156)
Unique sites:
As 0.0000 0.0000 0.0000
Ir 0.3333 0.6667 0.2084
Pt 0.6667 0.3333 0.6744

---

[21]
Below is crystalline AsIr2Pt at its relaxed geometry, with properties calculated at the PBE level.

ρ: 17.637 g/cm³
DFT formation energy: 0.241 eV/atom

Lattice parameters (Å, degrees): 4.655 4.655 2.844 90.00 90.00 90.00
Space group P4/mmm (No. 123)
Unique sites:
As 0.000 0.000 0.000
Ir 0.000 0.500 0.500
Pt 0.500 0.500 0.000

---

[22]
Below is crystalline AsIr2Pt at its relaxed geometry, with properties calculated at the PBE level.

ρ: 17.488 g/cm³
DFT formation energy: 0.173 eV/atom

Lattice parameters (Å, degrees): 2.840 2.840 7.703 90.00 90.00 90.00
Space group P4mm (No. 99)
Unique sites:
As 0.000 0.000 0.000
Ir 0.000 0.000 0.475
Ir 0.500 0.500 0.234
Pt 0.500 0.500 0.727

---

[23]
Below is crystalline AsIr2Pt at its relaxed geometry, with properties calculated at the PBE level.

ρ: 17.737 g/cm³
DFT formation energy: 0.152 eV/atom

Lattice parameters (Å, degrees): 10.379 2.844 4.609 90.00 115.76 90.00
Space group C2/m (No. 12)
Unique sites:
As 0.000 0.000 0.000
Ir 0.226 0.500 0.226
Pt 0.000 0.500 0.500

---

[24]
Below is crystalline AsIrPt at its relaxed geometry, with properties calculated at the PBE level.

ρ: 15.243 g/cm³
DFT formation energy: -0.136 eV/atom

Lattice parameters (Å, degrees): 6.301 5.903 5.424 90.00 93.39 90.00
Space group P2_1/c (No. 14)
Unique sites:
As 0.136 0.032 0.291
Ir 0.237 0.649 0.205
Pt 0.391 0.207 0.012

---

[25]
Below is crystalline Pu2As4IrPt3 at its relaxed geometry, with properties calculated at the PBE level.

ρ: 13.543 g/cm³
DFT formation energy: -0.576 eV/atom

Lattice parameters (Å, degrees): 4.357 4.357 10.109 90.00 90.00 90.00
Space group P-4m2 (No. 115)
Unique sites:
Pu 0.000 0.500 0.249
As 0.000 0.000 0.000
As 0.000 0.500 0.634
As 0.500 0.500 0.000
Ir 0.000 0.000 0.500
Pt 0.000 0.500 0.874
Pt 0.500 0.500 0.500

---

[26]
Below is crystalline RbAsIrPt2 at its relaxed geometry, with properties calculated at the PBE level.

ρ: 10.029 g/cm³
DFT formation energy: 0.473 eV/atom

Lattice parameters (Å, degrees): 5.161 5.161 4.617 90.00 90.00 90.00
Space group P4/mmm (No. 123)
Unique sites:
Rb 0.000 0.000 0.000
As 0.500 0.500 0.000
Ir 0.500 0.500 0.500
Pt 0.000 0.500 0.500

---

[27]
Below is crystalline AsIrPtSe2 at its relaxed geometry, with properties calculated at the PBE level.

ρ: 9.105 g/cm³
Formation energy from raw total energies: 0.8978 eV/atom

Lattice parameters (Å, degrees): 4.960 4.960 4.598 90.00 90.00 90.00
Space group P4/mmm (No. 123)
Unique sites:
As 0.000 0.000 0.000
Ir 0.000 0.000 0.500
Pt 0.500 0.500 0.000
Se 0.000 0.500 0.500

---

[28]
Below is crystalline Sm2As4IrPt3 at its relaxed geometry, with properties calculated at the PBE level.

ρ: 11.806 g/cm³
DFT formation energy: -0.790 eV/atom

Lattice parameters (Å, degrees): 4.403 4.403 9.999 90.00 90.00 90.00
Space group P-4m2 (No. 115)
Unique sites:
Sm 0.000 0.500 0.247
As 0.000 0.000 0.500
As 0.000 0.500 0.870
As 0.500 0.500 0.500
Ir 0.500 0.500 0.000
Pt 0.000 0.000 0.000
Pt 0.000 0.500 0.625

---

[29]
Below is crystalline Sr2As4IrPt3 at its relaxed geometry, with properties calculated at the PBE level.

ρ: 10.261 g/cm³
DFT formation energy: -0.700 eV/atom

Lattice parameters (Å, degrees): 4.513 4.513 9.953 90.00 90.00 90.00
Space group P-4m2 (No. 115)
Unique sites:
Sr 0.000 0.500 0.246
As 0.000 0.000 0.000
As 0.000 0.500 0.625
As 0.500 0.500 0.000
Ir 0.000 0.000 0.500
Pt 0.000 0.500 0.881
Pt 0.500 0.500 0.500